Computed, not measured: an optimized crystal structure of Sb2S3O12 at the PBE level of DFT.

Output
crystal system = monoclinic
formation energy (no corrections) = -1.301 eV/atom
E above lowest polymorph = 0.0 meV/atom

Lattice parameters (Å, degrees): 8.5416 9.6254 14.9421 90.00 120.31 90.00
Last column: nearest neighbours and their distance in Å.
Positions (direct):
Sb: 0.1561 0.0040 0.3910  3 O 2.07-2.20
Sb: 0.1561 0.4960 0.8910  3 O 2.07-2.20
Sb: 0.3345 0.5341 0.6016  4 O 2.10-2.32
Sb: 0.3345 0.9659 0.1016  4 O 2.10-2.32
Sb: 0.6655 0.0341 0.8984  4 O 2.10-2.32
Sb: 0.6655 0.4659 0.3984  4 O 2.10-2.32
Sb: 0.8439 0.5040 0.1090  3 O 2.07-2.20
Sb: 0.8439 0.9960 0.6090  3 O 2.07-2.20
S: 0.0034 0.1276 0.1286  4 O 1.46-1.54
S: 0.0034 0.3724 0.6286  4 O 1.46-1.54
S: 0.2448 0.5806 0.1318  4 O 1.46-1.54
S: 0.2448 0.9194 0.6318  4 O 1.46-1.54
S: 0.4006 0.2265 0.9698  4 O 1.45-1.52
S: 0.4006 0.2735 0.4698  4 O 1.45-1.52
S: 0.5994 0.7265 0.5302  4 O 1.45-1.52
S: 0.5994 0.7735 0.0302  4 O 1.45-1.52
S: 0.7552 0.0806 0.3682  4 O 1.46-1.54
S: 0.7552 0.4194 0.8682  4 O 1.46-1.54
S: 0.9966 0.6276 0.3714  4 O 1.46-1.54
S: 0.9966 0.8724 0.8714  4 O 1.46-1.54
O: 0.0107 0.7296 0.8431  1 S 1.46
O: 0.0107 0.7704 0.3431  1 S 1.46
O: 0.0949 0.0353 0.2210  1 S 1.49
O: 0.0949 0.4647 0.7210  1 S 1.49
O: 0.1025 0.1197 0.0703  1 S 1.49
O: 0.1025 0.3803 0.5703  1 S 1.49
O: 0.1135 0.5594 0.1729  1 S 1.54
O: 0.1135 0.9406 0.6729  1 S 1.54
O: 0.1877 0.5680 0.4405  1 S 1.54
O: 0.1877 0.9320 0.9405  1 S 1.54
O: 0.1928 0.0268 0.5472  1 S 1.52
O: 0.1928 0.4732 0.0472  1 S 1.52
O: 0.2037 0.2289 0.4091  1 S 1.52
O: 0.2037 0.2711 0.9091  1 S 1.52
O: 0.2199 0.7207 0.0887  1 S 1.46
O: 0.2199 0.7793 0.5887  1 S 1.46
O: 0.4271 0.5535 0.2176  1 S 1.46
O: 0.4271 0.9465 0.7176  1 S 1.46
O: 0.4304 0.1307 0.9011  1 S 1.49
O: 0.4304 0.3693 0.4011  1 S 1.49
O: 0.4311 0.1477 0.0650  1 S 1.51
O: 0.4311 0.3523 0.5650  1 S 1.51
O: 0.4825 0.6519 0.9975  1 S 1.45
O: 0.4825 0.8481 0.4975  1 S 1.45
O: 0.5175 0.1519 0.5025  1 S 1.45
O: 0.5175 0.3481 0.0025  1 S 1.45
O: 0.5689 0.6477 0.4350  1 S 1.51
O: 0.5689 0.8523 0.9350  1 S 1.51
O: 0.5696 0.6307 0.5989  1 S 1.49
O: 0.5696 0.8693 0.0989  1 S 1.49
O: 0.5729 0.0535 0.2824  1 S 1.46
O: 0.5729 0.4465 0.7824  1 S 1.46
O: 0.7801 0.2207 0.4113  1 S 1.46
O: 0.7801 0.2793 0.9113  1 S 1.46
O: 0.7963 0.7289 0.0909  1 S 1.52
O: 0.7963 0.7711 0.5909  1 S 1.52
O: 0.8072 0.5268 0.9528  1 S 1.52
O: 0.8072 0.9732 0.4528  1 S 1.52
O: 0.8123 0.0680 0.0595  1 S 1.54
O: 0.8123 0.4320 0.5595  1 S 1.54
O: 0.8865 0.0594 0.3271  1 S 1.54
O: 0.8865 0.4406 0.8271  1 S 1.54
O: 0.8975 0.6197 0.4297  1 S 1.49
O: 0.8975 0.8803 0.9297  1 S 1.49
O: 0.9051 0.5353 0.2790  1 S 1.49
O: 0.9051 0.9647 0.7790  1 S 1.49
O: 0.9893 0.2296 0.6569  1 S 1.46
O: 0.9893 0.2704 0.1569  1 S 1.46

Computed, not measured: an optimized crystal structure of K2AlOs at the PBE level of DFT.

Output
crystal system = orthorhombic
ΔE_f = 1.04 eV per atom

Lattice parameters (Å, degrees): 2.8126 2.8126 11.6382 90.00 90.00 101.93
Last column: nearest neighbours and their distance in Å.
Positions (direct):
K: 0.0000 0.0000 0.2354  4 K 2.81
K: 0.0000 0.0000 0.7646  4 K 2.81
Al: 0.5000 0.5000 0.5000  4 Al 2.81
Os: 0.5000 0.5000 0.0000  4 Os 2.81

Computed, not measured: an optimized crystal structure of MoAs4Ru at the PBE level of DFT.

Output
crystal system = cubic
ΔE_f = 0.95 eV per atom

Lattice parameters (Å, degrees): 5.2965 5.2965 5.2965 60.00 60.00 60.00
Last column: nearest neighbours and their distance in Å.
Positions (direct):
Mo: 0.0000 0.0000 0.0000  12 As 3.11, 4 Ru 3.24
As: 0.3749 0.3749 0.3749  6 As 2.65
As: 0.3749 0.3749 0.8752  6 As 2.65
As: 0.3749 0.8752 0.3749  6 As 2.65
As: 0.8752 0.3749 0.3749  6 As 2.65
Ru: 0.7500 0.7500 0.7500  12 As 3.11, 4 Mo 3.24

Computed, not measured: an optimized crystal structure of Rb3Cd8Sn3 at the PBE level of DFT.

Output
crystal system = monoclinic
ΔE_f = -0.09 eV per atom
E above lowest polymorph = 0.0 meV/atom

Lattice parameters (Å, degrees): 9.4808 9.4808 10.5092 121.47 121.47 31.93
Last column: nearest neighbours and their distance in Å.
Positions (direct):
Rb: 0.0000 0.0000 0.0000  8 Cd 3.62-3.84, 4 Sn 3.91
Rb: 0.2986 0.2986 0.2991  10 Cd 3.54-3.76, 3 Sn 3.61-3.88
Rb: 0.7014 0.7014 0.7009  10 Cd 3.54-3.76, 3 Sn 3.61-3.88
Cd: 0.1372 0.1372 0.8481  5 Cd 3.03-3.36, 1 Sn 3.12
Cd: 0.1459 0.1459 0.4253  4 Sn 3.01-3.15
Cd: 0.3419 0.3419 0.9889  1 Sn 2.99, 4 Cd 3.02-3.18
Cd: 0.4998 0.4998 0.3096  3 Sn 3.01-3.29, 3 Cd 3.02-3.36
Cd: 0.5002 0.5002 0.6904  3 Sn 3.01-3.29, 3 Cd 3.02-3.36
Cd: 0.6581 0.6581 0.0111  1 Sn 2.99, 4 Cd 3.02-3.18
Cd: 0.8541 0.8541 0.5747  4 Sn 3.01-3.15
Cd: 0.8628 0.8628 0.1519  5 Cd 3.03-3.36, 1 Sn 3.12
Sn: 0.0000 0.0000 0.5000  8 Cd 3.12-3.29
Sn: 0.3386 0.3386 0.7015  5 Cd 2.99-3.11
Sn: 0.6614 0.6614 0.2985  5 Cd 2.99-3.11

Computed, not measured: an optimized crystal structure of FeSiHgBiPt at the PBE level of DFT.

Output
crystal system = monoclinic
formation energy (no corrections) = -0.008 eV/atom
E above lowest polymorph = 50.0 meV/atom

Lattice parameters (Å, degrees): 3.7668 3.7668 8.5237 102.84 102.84 60.05
Last column: nearest neighbours and their distance in Å.
Positions (direct):
Fe: 0.0000 0.0000 0.0000  3 Si 2.28
Si: 0.3058 0.3058 0.9167  3 Fe 2.28, 3 Pt 2.45
Hg: 0.7393 0.7393 0.2204  3 Fe 2.83-2.84
Bi: 0.1808 0.1808 0.5411  3 Pt 2.93, 1 Si 3.09
Pt: 0.5933 0.5933 0.7795  3 Si 2.45

Computed, not measured: an optimized crystal structure of AlCuAs3 at the PBE level of DFT.

Output
crystal system = cubic
ΔE_f = 0.65 eV per atom
E above lowest polymorph = 0.0 meV/atom

Lattice parameters (Å, degrees): 4.7199 4.7199 4.7199 90.00 90.00 90.00
Last column: nearest neighbours and their distance in Å.
Positions (direct):
Al: 0.0000 0.0000 0.0000  12 As 3.34
Cu: 0.5000 0.5000 0.5000  6 As 2.36
As: 0.0000 0.5000 0.5000  2 Cu 2.36
As: 0.5000 0.0000 0.5000  2 Cu 2.36
As: 0.5000 0.5000 0.0000  2 Cu 2.36

Computed, not measured: an optimized crystal structure of FeNiPtRh2 at the PBE level of DFT.

Output
crystal system = monoclinic
ΔE_f = -0.06 eV per atom

Lattice parameters (Å, degrees): 5.8844 3.8297 6.0228 90.00 90.29 90.00
Last column: nearest neighbours and their distance in Å.
Positions (direct):
Fe: 0.1519 0.2500 0.0507  6 Rh 2.53-2.65, 1 Pt 2.61, 3 Ni 2.62-2.65, 2 Fe 2.69
Fe: 0.8481 0.7500 0.9493  6 Rh 2.53-2.65, 1 Pt 2.61, 3 Ni 2.62-2.65, 2 Fe 2.69
Ni: 0.0509 0.7500 0.3381  4 Rh 2.59-2.73, 3 Pt 2.61-2.62, 3 Fe 2.62-2.65, 2 Ni 2.80
Ni: 0.9491 0.2500 0.6619  4 Rh 2.59-2.73, 3 Pt 2.61-2.62, 3 Fe 2.62-2.65, 2 Ni 2.80
Pt: 0.3338 0.2500 0.4472  1 Fe 2.61, 3 Ni 2.61-2.62, 6 Rh 2.72-2.85, 2 Pt 2.81
Pt: 0.6662 0.7500 0.5528  1 Fe 2.61, 3 Ni 2.61-2.62, 6 Rh 2.72-2.85, 2 Pt 2.81
Rh: 0.2305 0.7500 0.7578  3 Fe 2.53-2.65, 3 Ni 2.59-2.73, 3 Rh 2.66-2.75, 2 Pt 2.75
Rh: 0.4474 0.7500 0.1463  1 Ni 2.61, 3 Fe 2.65, 5 Rh 2.66-2.75, 3 Pt 2.72-2.76
Rh: 0.5526 0.2500 0.8537  1 Ni 2.61, 3 Fe 2.65, 5 Rh 2.66-2.75, 3 Pt 2.72-2.76
Rh: 0.7695 0.2500 0.2422  3 Fe 2.53-2.65, 3 Ni 2.59-2.73, 3 Rh 2.66-2.75, 2 Pt 2.75

Computed, not measured: an optimized crystal structure of TaRuAu2 at the PBE level of DFT.

Output
crystal system = trigonal
ΔE_f = 0.08 eV per atom
E above lowest polymorph = 161.7 meV/atom

Lattice parameters (Å, degrees): 9.4990 9.4990 9.4990 17.63 17.63 17.63
Last column: nearest neighbours and their distance in Å.
Positions (direct):
Ta: 0.0000 0.0000 0.0000  3 Ru 2.69, 6 Ta 2.91, 3 Au 2.92
Ru: 0.7416 0.7416 0.7416  3 Ta 2.69, 6 Ru 2.91, 3 Au 2.92
Au: 0.2484 0.2484 0.2484  9 Au 2.91-2.99, 3 Ta 2.92
Au: 0.4936 0.4936 0.4936  9 Au 2.91-2.99, 3 Ru 2.92

Computed, not measured: an optimized crystal structure of CdBi2Rh2 at the PBE level of DFT.

Output
crystal system = tetragonal
ΔE_f = 0.01 eV per atom
E above lowest polymorph = 126.0 meV/atom

Lattice parameters (Å, degrees): 8.4832 8.4832 8.4832 152.48 152.48 39.31
Last column: nearest neighbours and their distance in Å.
Positions (direct):
Cd: 0.0000 0.0000 0.0000  8 Bi 3.59
Bi: 0.3632 0.3632 0.0000  4 Rh 2.71
Bi: 0.6368 0.6368 0.0000  4 Rh 2.71
Rh: 0.2500 0.7500 0.5000  4 Bi 2.71, 4 Rh 2.85
Rh: 0.7500 0.2500 0.5000  4 Bi 2.71, 4 Rh 2.85

Computed, not measured: an optimized crystal structure of BaUSe2F at the PBE level of DFT.

Output
crystal system = tetragonal
formation energy (no corrections) = -2.104 eV/atom

Lattice parameters (Å, degrees): 4.2068 4.2068 14.7859 90.00 90.00 90.00
Last column: nearest neighbours and their distance in Å.
Positions (direct):
Ba: 0.2500 0.2500 0.1100  4 F 2.66
Ba: 0.7500 0.7500 0.8900  4 F 2.66
U: 0.2500 0.2500 0.6024  6 Se 2.69-2.98
U: 0.7500 0.7500 0.3976  6 Se 2.69-2.98
Se: 0.2500 0.2500 0.4032  5 U 2.95-2.98
Se: 0.2500 0.2500 0.7845  1 U 2.69
Se: 0.7500 0.7500 0.2155  1 U 2.69
Se: 0.7500 0.7500 0.5968  5 U 2.95-2.98
F: 0.2500 0.7500 0.0000  4 Ba 2.66, 4 F 2.97
F: 0.7500 0.2500 0.0000  4 Ba 2.66, 4 F 2.97

Computed, not measured: an optimized crystal structure of CaNd2As at the PBE level of DFT.

Output
crystal system = trigonal
ΔE_f = -0.63 eV per atom

Lattice parameters (Å, degrees): 10.1975 10.1975 10.1975 23.13 23.13 23.13
Last column: nearest neighbours and their distance in Å.
Positions (direct):
Ca: 0.0000 0.0000 0.0000  6 Nd 4.00-4.02, 6 Ca 4.09
Nd: 0.5574 0.5574 0.5574  3 As 2.92
Nd: 0.7754 0.7754 0.7754  3 As 2.92
As: 0.1662 0.1662 0.1662  6 Nd 2.92

Computed, not measured: an optimized crystal structure of La3TlRu at the PBE level of DFT.

Output
crystal system = trigonal
ΔE_f = -0.17 eV per atom
E above lowest polymorph = 218.5 meV/atom

Lattice parameters (Å, degrees): 6.9186 6.9186 6.9186 75.17 75.17 75.17
Last column: nearest neighbours and their distance in Å.
Positions (direct):
La: 0.0380 0.7883 0.4406  1 Ru 2.78
La: 0.2117 0.5594 0.9620  1 Ru 2.78
La: 0.4406 0.0380 0.7883  1 Ru 2.78
La: 0.5594 0.9620 0.2117  1 Ru 2.78
La: 0.7883 0.4406 0.0380  1 Ru 2.78
La: 0.9620 0.2117 0.5594  1 Ru 2.78
Tl: 0.3947 0.3947 0.3947  1 Tl 3.10, 6 La 3.20-3.36
Tl: 0.6053 0.6053 0.6053  1 Tl 3.10, 6 La 3.20-3.36
Ru: 0.0914 0.0914 0.0914  1 Ru 2.69, 3 La 2.78
Ru: 0.9086 0.9086 0.9086  1 Ru 2.69, 3 La 2.78

no.,calculated total energy (eV/atom)
1,-6.01
2,-3.26
3,-5.50
4,-1.68
5,-4.83
6,-3.70
7,-7.06
8,-6.84
9,-4.67
10,-6.51
11,-4.68
12,-5.46